# 1
The following is a PBE calculation of a geometry-optimized Na3Sr2NbO6 structure, from Alexandria via LeMat-Bulk.

Properties
symmetry = C2/m
density of states at the Fermi level = 0.000 states/eV/atom
formation energy without anion corrections = -225 kJ/mol of atoms

Cell and atoms, written as extended XYZ:
```
12
Lattice="3.017 -5.296 0.000 3.017 5.296 0.000 -1.968 0.000 5.554" Properties=species:S:1:pos:R:3 pbc="T T T"
Na 0.000 0.000 0.000
Na 3.017 1.551 0.000
Na 3.017 -1.551 0.000
Sr 2.033 3.515 2.777
Sr 2.033 -3.515 2.777
Nb 2.033 0.000 2.777
O 1.204 1.466 1.585
O 0.325 0.000 3.915
O 1.204 -1.466 1.585
O 2.863 1.466 3.969
O 3.742 0.000 1.638
O 2.863 -1.466 3.969
```

***

# 2
The following is a PBE calculation of a geometry-optimized NaSrNb2O7 structure, from Alexandria via LeMat-Bulk.

Properties
symmetry = I-4m2
density of states at the Fermi level = 0.385 states/eV/atom
formation energy without anion corrections = -235 kJ/mol of atoms

Cell and atoms, written as extended XYZ:
```
11
Lattice="-1.985 1.985 10.767 1.985 -1.985 10.767 1.985 1.985 -10.767" Properties=species:S:1:pos:R:3 pbc="T T T"
Na 0.000 0.000 0.000
Sr 1.985 0.000 5.384
Nb 0.000 1.985 3.087
Nb 0.000 1.985 7.680
O 0.000 0.000 3.475
O 0.000 0.000 7.261
O 0.000 1.985 1.279
O 0.000 0.000 14.274
O 0.000 1.985 5.384
O 0.000 0.000 18.059
O 0.000 1.985 9.488
```

***

# 3
The following is a PBE calculation of a geometry-optimized NaSrNbO4 structure, from Alexandria via LeMat-Bulk.

Properties
symmetry = I4mm
formation energy without anion corrections = -246 kJ/mol of atoms

Cell and atoms, written as extended XYZ:
```
7
Lattice="-2.010 2.010 6.316 2.010 -2.010 6.316 2.010 2.010 -6.316" Properties=species:S:1:pos:R:3 pbc="T T T"
Na 0.000 0.000 0.000
Sr 0.000 0.000 8.756
Nb 0.000 0.000 4.419
O 0.000 0.000 2.348
O 2.010 0.000 4.309
O 0.000 0.000 6.343
O 0.000 2.010 4.309
```

***

# 4
The following is a PBE calculation of a geometry-optimized NaSrTbNbO6 structure, from Alexandria via LeMat-Bulk.

Properties
symmetry = F-43m
density of states at the Fermi level = 0.462 states/eV/atom
formation energy without anion corrections = -246 kJ/mol of atoms

Cell and atoms, written as extended XYZ:
```
10
Lattice="0.000 4.238 4.238 4.238 0.000 4.238 4.238 4.238 0.000" Properties=species:S:1:pos:R:3 pbc="T T T"
Na 0.000 0.000 0.000
Sr 4.238 4.238 4.238
Tb 2.119 2.119 2.119
Nb 6.357 6.357 6.357
O 6.357 6.357 4.353
O 6.357 4.353 6.357
O 8.360 6.357 6.357
O 4.353 6.357 6.357
O 6.357 8.360 6.357
O 6.357 6.357 8.360
```

***

# 5
The following is a PBE calculation of a geometry-optimized Na3SrTiNb3O12 structure, from Alexandria via LeMat-Bulk.

Properties
symmetry = P2/c
density of states at the Fermi level = 0.000 states/eV/atom
E above lowest polymorph = 0.000 eV per atom
formation energy without anion corrections = -249 kJ/mol of atoms

Cell and atoms, written as extended XYZ:
```
40
Lattice="7.867 0.000 0.000 0.000 7.926 0.000 -7.845 0.000 7.927" Properties=species:S:1:pos:R:3 pbc="T T T"
Na -1.961 1.855 1.982
Na -5.883 1.878 5.945
Na -1.961 6.047 1.982
Na -5.883 6.070 5.945
Na -1.950 2.009 5.945
Na 1.972 5.916 1.982
Sr 1.972 1.816 1.982
Sr -1.950 6.110 5.945
Ti 3.934 0.000 0.000
Ti 0.011 0.000 3.964
Nb 0.000 0.000 0.000
Nb -3.922 0.000 3.964
Nb 0.000 3.963 0.000
Nb -3.922 3.963 3.964
Nb 3.934 3.963 0.000
Nb 0.011 3.963 3.964
O -7.517 1.990 7.806
O -3.595 5.935 3.842
O -1.963 3.652 3.645
O -5.885 4.273 7.609
O -0.167 0.179 1.994
O -4.089 7.747 5.958
O -1.941 0.247 4.195
O 1.981 7.679 0.231
O 0.378 3.878 1.975
O -3.544 4.047 5.939
O -4.211 1.980 7.821
O -0.289 5.946 3.857
O 0.311 1.980 4.070
O 4.234 5.946 0.106
O 3.567 3.878 1.989
O -0.355 4.047 5.952
O -1.959 0.247 7.696
O 1.963 7.679 3.732
O 4.112 0.179 1.969
O 0.190 7.747 5.933
O 5.908 3.652 0.318
O 1.986 4.273 4.282
O 3.618 1.990 4.085
O 7.540 5.935 0.122
```

***

# 6
The following is a PBE calculation of a geometry-optimized Na3SrTiNb3O12 structure, from Alexandria via LeMat-Bulk.

Properties
symmetry = P-1
density of states at the Fermi level = 0.000 states/eV/atom
E above lowest polymorph = 0.003 eV per atom
formation energy without anion corrections = -249 kJ/mol of atoms

Cell and atoms, written as extended XYZ:
```
40
Lattice="7.889 0.000 0.000 -0.020 7.898 0.000 -0.018 -0.018 7.942" Properties=species:S:1:pos:R:3 pbc="T T T"
Na 1.933 2.067 1.980
Na 1.959 1.973 5.961
Na 1.950 5.956 5.954
Na 5.901 1.924 1.988
Na 5.891 5.907 1.981
Na 5.918 5.813 5.961
Sr 1.955 6.020 1.991
Sr 5.895 1.860 5.950
Ti -0.010 3.949 0.000
Ti 3.936 -0.009 3.971
Nb 0.000 0.000 0.000
Nb -0.009 -0.009 3.971
Nb -0.019 3.940 3.971
Nb 3.944 0.000 0.000
Nb 3.934 3.949 0.000
Nb 3.925 3.940 3.971
O 0.170 4.111 1.978
O 0.239 0.245 5.955
O 0.274 5.905 7.784
O 0.317 5.914 4.147
O 1.939 3.638 7.819
O 1.966 0.227 3.667
O 1.971 0.257 0.329
O 1.952 3.609 4.106
O 3.575 5.908 7.777
O 3.606 5.921 4.118
O 3.699 0.219 5.955
O 3.732 4.116 1.986
O 4.119 3.765 5.956
O 4.151 7.661 1.987
O 4.245 1.960 3.824
O 4.275 1.973 0.165
O 5.898 4.272 3.835
O 5.880 7.624 7.613
O 5.885 7.653 4.275
O 5.912 4.243 0.122
O 7.534 1.966 3.794
O 7.576 1.975 0.158
O 7.612 7.635 1.986
O 7.681 3.770 5.963
```

***

# 7
The following is a PBE calculation of a geometry-optimized NaTa2NbO8 structure, from Alexandria via LeMat-Bulk.

Properties
symmetry = Cmmm
density of states at the Fermi level = 0.000 states/eV/atom
formation energy without anion corrections = -252 kJ/mol of atoms

Cell and atoms, written as extended XYZ:
```
12
Lattice="3.376 -3.476 0.000 3.376 3.476 0.000 0.000 0.000 6.319" Properties=species:S:1:pos:R:3 pbc="T T T"
Na 0.000 0.000 0.000
Ta 3.376 0.000 1.532
Ta 3.376 0.000 4.787
Nb 0.000 0.000 3.160
O 1.427 0.000 1.778
O 1.427 0.000 4.542
O 3.376 1.371 3.160
O 3.376 1.240 0.000
O 3.376 -1.240 0.000
O 3.376 -1.371 3.160
O 5.326 0.000 1.778
O 5.326 0.000 4.542
```

***

# 8
The following is a PBE calculation of a geometry-optimized NaTb2NbO6 structure, from Alexandria via LeMat-Bulk.

Properties
symmetry = R3
density of states at the Fermi level = 0.000 states/eV/atom
formation energy without anion corrections = -287 kJ/mol of atoms

Cell and atoms, written as extended XYZ:
```
10
Lattice="2.855 1.648 5.032 -2.855 1.648 5.032 0.000 -3.296 5.032" Properties=species:S:1:pos:R:3 pbc="T T T"
Na 0.000 0.000 0.000
Tb 0.000 0.000 3.372
Tb 0.000 0.000 10.941
Nb 0.000 0.000 7.816
O -0.751 -1.584 6.900
O -1.545 0.081 9.238
O -0.996 1.443 6.900
O 0.702 -1.379 9.238
O 1.747 0.141 6.900
O 0.843 1.297 9.238
```

***

Which of these has the highest formation energy without anion corrections? Na3Sr2NbO6

***

What is the formation energy without anion corrections in the third record? -246 kJ/mol of atoms